## BeB2SbRh (GGA-PBE)

Data for BeB2SbRh after structural relaxation.

abc: 4.387 4.505 4.387
angles: 90.00 90.00 90.00
Positions (direct):
Be 0.000 0.500 0.000
Sb 0.000 0.000 0.000
B 0.000 0.000 0.500
B 0.500 0.000 0.000
Rh 0.500 0.500 0.500

Computed properties:
As for the crystal system: tetragonal. For the total energy, the calculation gives -3.57 eV/atom. As for the formation energy from raw total energies: 10.7 eV/f.u. Its density is 4.89 g/cm3. Its space-group type is No. 123.

## Sc2Be2BRh5 (GGA-PBE)

Data for Sc2Be2BRh5 after structural relaxation.

abc: 2.987 9.303 9.303
angles: 90.00 90.00 90.00
Positions (direct):
Rh 0.500 0.064 0.803
Rh 0.500 0.197 0.064
Rh 0.500 0.697 0.436
Rh 0.500 0.436 0.303
Rh 0.500 0.936 0.197
Rh 0.500 0.000 0.500
Rh 0.500 0.564 0.697
Rh 0.500 0.803 0.936
Rh 0.500 0.500 0.000
Rh 0.500 0.303 0.564
Sc 0.000 0.175 0.325
Sc 0.000 0.325 0.825
Sc 0.000 0.675 0.175
Sc 0.000 0.825 0.675
B 0.000 0.500 0.500
B 0.000 0.000 0.000
Be 0.000 0.871 0.371
Be 0.000 0.371 0.129
Be 0.000 0.629 0.871
Be 0.000 0.129 0.629

Computed properties:
The calculated formation energy is -0.681 eV per atom. As for the crystal system: tetragonal. For the total energy, the calculation gives -7.04 eV/atom. Its density is 8.14 g/cm3. Its space-group type is No. 127.

## BeSi2BRh (GGA-PBE)

Data for BeSi2BRh after structural relaxation.

abc: 3.937 4.235 3.937
angles: 90.00 90.00 90.00
Positions (direct):
Rh 0.000 0.500 0.000
Si 0.500 0.000 0.000
Si 0.000 0.000 0.500
B 0.000 0.000 0.000
Be 0.500 0.500 0.500

Computed properties:
As for the crystal system: tetragonal. For the total energy, the calculation gives -5.12 eV/atom. As for the formation energy from raw total energies: 3.0 eV/f.u. Its density is 4.53 g/cm3. Its space-group type is No. 123.